Density functional theory data (GGA-PBE) for a relaxed structure of Tl8Bi2Au3.

Energy of formation (eV per atom): 0.0486
DOS(E_F) (states/eV/f.u.): 5.0

abc: 8.3610 8.3610 8.0783
angles: 106.75 106.75 51.37
Positions (direct):
Tl (0.1188, 0.1188, 0.9802)
Tl (0.1233, 0.6578, 0.6209)
Tl (0.3422, 0.8767, 0.3791)
Tl (0.3550, 0.3550, 0.1582)
Tl (0.6450, 0.6450, 0.8418)
Tl (0.6578, 0.1233, 0.6209)
Tl (0.8767, 0.3422, 0.3791)
Tl (0.8812, 0.8812, 0.0198)
Bi (0.2445, 0.2445, 0.7249)
Bi (0.7555, 0.7555, 0.2751)
Au (0.3110, 0.6890, 0.0000)
Au (0.5000, 0.5000, 0.5000)
Au (0.6890, 0.3110, 0.0000)

=====

Density functional theory data (GGA-PBE) for a relaxed structure of Tl6Bi2Au.

Energy of formation (eV per atom): 0.0116
DOS(E_F) (states/eV/f.u.): 3.7

abc: 7.3507 7.3294 12.8500
angles: 90.00 123.24 90.00
Positions (direct):
Tl (0.1540, 0.0495, 0.2386)
Tl (0.1540, 0.4505, 0.7386)
Tl (0.1967, 0.1934, 0.5416)
Tl (0.1967, 0.3066, 0.0416)
Tl (0.3446, 0.6555, 0.5439)
Tl (0.3446, 0.8445, 0.0439)
Tl (0.6554, 0.1555, 0.9561)
Tl (0.6554, 0.3445, 0.4561)
Tl (0.8033, 0.6934, 0.9584)
Tl (0.8033, 0.8066, 0.4584)
Tl (0.8460, 0.5495, 0.2614)
Tl (0.8460, 0.9505, 0.7614)
Bi (0.2727, 0.6135, 0.2488)
Bi (0.2727, 0.8865, 0.7488)
Bi (0.7273, 0.1135, 0.2512)
Bi (0.7273, 0.3865, 0.7512)
Au (0.5000, 0.0000, 0.5000)
Au (0.5000, 0.5000, 0.0000)

=====

Density functional theory data (GGA-PBE) for a relaxed structure of TlBi2WAu.

Energy of formation (eV per atom): 1.2238
DOS(E_F) (states/eV/f.u.): 2.6

abc: 5.5732 5.5732 5.3012
angles: 90.00 90.00 90.00
Positions (direct):
Tl (0.0000, 0.0000, 0.0000)
Bi (0.0000, 0.5000, 0.5000)
Bi (0.5000, 0.0000, 0.5000)
W (0.5000, 0.5000, 0.0000)
Au (0.5000, 0.5000, 0.5000)

=====

Density functional theory data (GGA-PBE) for a relaxed structure of Tm5Bi2Au.

Energy of formation (eV per atom): -0.1996
DOS(E_F) (states/eV/f.u.): 8.3

abc: 8.0536 8.0536 13.4975
angles: 90.00 90.00 139.18
Positions (direct):
Tm (0.0849, 0.9151, 0.6142)
Tm (0.0849, 0.9151, 0.8858)
Tm (0.2842, 0.7158, 0.2500)
Tm (0.3062, 0.6938, 0.5402)
Tm (0.3062, 0.6938, 0.9598)
Tm (0.6938, 0.3062, 0.0402)
Tm (0.6938, 0.3062, 0.4598)
Tm (0.7158, 0.2842, 0.7500)
Tm (0.9151, 0.0849, 0.1142)
Tm (0.9151, 0.0849, 0.3858)
Bi (0.1210, 0.8790, 0.1063)
Bi (0.1210, 0.8790, 0.3937)
Bi (0.8790, 0.1210, 0.6063)
Bi (0.8790, 0.1210, 0.8937)
Au (0.2269, 0.7731, 0.7500)
Au (0.7731, 0.2269, 0.2500)

=====

Density functional theory data (GGA-PBE) for a relaxed structure of TmBiAu.

Energy of formation (eV per atom): -0.5638
DOS(E_F) (states/eV/f.u.): 1.3

abc: 4.5826 4.5826 4.3586
angles: 90.00 90.00 120.00
Positions (direct):
Tm (0.0000, 0.0000, 0.0000)
Bi (0.3333, 0.6667, 0.5593)
Au (0.6667, 0.3333, 0.2759)

=====

Density functional theory data (GGA-PBE) for a relaxed structure of Tm8Bi2Au.

Energy of formation (eV per atom): -0.3890
DOS(E_F) (states/eV/f.u.): 11.1

abc: 9.3275 9.3275 6.8582
angles: 92.49 92.49 31.43
Positions (direct):
Tm (0.0289, 0.0289, 0.2516)
Tm (0.2126, 0.2126, 0.1295)
Tm (0.3461, 0.3461, 0.5938)
Tm (0.4095, 0.4095, 0.0661)
Tm (0.5905, 0.5905, 0.9339)
Tm (0.6539, 0.6539, 0.4062)
Tm (0.7874, 0.7874, 0.8705)
Tm (0.9711, 0.9711, 0.7484)
Bi (0.1672, 0.1672, 0.6738)
Bi (0.8328, 0.8328, 0.3262)
Au (0.5000, 0.5000, 0.5000)

=====

| no. | volume (Å³ per cell) |
| --- | --- |
| 1 | 418.0 |
| 2 | 579.0 |
| 3 | 164.7 |
| 4 | 572.3 |
| 5 | 79.3 |
| 6 | 310.8 |